#P
This record from Alexandria via LeMat-Bulk describes crystalline PmEr8Sc6 at its relaxed geometry. The functional is GGA-PBE.

extended XYZ file:
```
15
Lattice="1.795 8.349 0.664 1.317 3.651 7.636 7.791 2.680 2.340" Properties=species:S:1:pos:R:3 pbc="T T T"
Pm 0.000 0.000 0.000
Sc 1.837 5.527 2.659
Sc 4.622 3.992 1.923
Sc 6.282 10.688 8.716
Sc 9.066 9.152 7.981
Sc 7.901 11.461 5.990
Sc 3.002 3.218 4.650
Er 3.488 9.070 3.607
Er 7.697 5.865 3.716
Er 6.773 8.996 3.018
Er 6.363 8.566 6.209
Er 4.541 6.113 4.431
Er 7.415 5.609 7.033
Er 4.130 5.684 7.621
Er 3.207 8.815 6.923
```

Summary:
The density of states at the Fermi level is 35.596 states/eV/cell.

---

#Q
This record from Alexandria via LeMat-Bulk describes crystalline PmEr8Sc6 at its relaxed geometry. The functional is GGA-PBE.

extended XYZ file:
```
15
Lattice="9.295 0.000 0.000 4.648 8.050 0.000 4.648 2.683 5.763" Properties=species:S:1:pos:R:3 pbc="T T T"
Sc 6.137 0.588 0.233
Sc 12.454 10.145 5.530
Sc 5.718 5.020 0.233
Sc 2.089 2.442 0.233
Sc 12.873 5.713 5.530
Sc 16.502 8.292 5.530
Er 11.928 7.621 3.015
Er 8.659 8.773 2.748
Er 12.564 4.214 2.748
Er 9.295 5.367 4.430
Er 6.663 3.113 2.748
Er 9.932 1.960 3.015
Er 6.027 6.519 3.015
Er 9.295 5.367 1.333
Pm 0.000 0.000 0.000
```

Summary:
The density of states at the Fermi level is 23.100 states/eV/cell.

---

Energy ordering: #P at the bottom, the next structure 10 meV per atom above.

---

#P
This record from Alexandria via LeMat-Bulk describes crystalline Pm8Er6Sc at its relaxed geometry. The functional is GGA-PBE.

extended XYZ file:
```
15
Lattice="9.798 0.000 0.000 4.899 8.486 0.000 4.899 2.829 5.863" Properties=species:S:1:pos:R:3 pbc="T T T"
Er 2.182 2.505 0.171
Er 17.414 8.809 5.693
Er 13.058 10.677 5.693
Er 6.538 0.637 0.171
Er 5.977 5.344 0.171
Er 13.619 5.971 5.693
Pm 12.667 8.006 3.021
Pm 6.929 3.308 2.843
Pm 13.267 4.347 2.843
Pm 9.798 5.657 4.521
Pm 6.330 6.967 3.021
Pm 10.398 1.998 3.021
Pm 9.199 9.316 2.843
Pm 9.798 5.657 1.343
Sc 0.000 0.000 0.000
```

Summary:
The density of states at the Fermi level is 21.876 states/eV/cell.

---

#Q
This record from Alexandria via LeMat-Bulk describes crystalline Pm8Er6Sc at its relaxed geometry. The functional is GGA-PBE.

extended XYZ file:
```
15
Lattice="-3.286 2.242 5.049 -5.397 5.056 -5.757 -2.480 -8.748 2.271" Properties=species:S:1:pos:R:3 pbc="T T T"
Er -2.716 -2.646 2.138
Er -5.213 -5.402 1.737
Er -5.950 3.952 -0.175
Er -5.718 -2.148 -0.037
Er -5.445 0.698 1.599
Er -8.447 1.196 -0.576
Pm -4.870 0.758 -2.397
Pm -6.293 -2.209 3.959
Pm -3.613 -0.395 4.536
Pm -4.808 3.892 -3.386
Pm -8.474 -1.186 1.724
Pm -2.689 -0.264 -0.161
Pm -6.355 -5.342 4.948
Pm -7.549 -1.055 -2.973
Sc -1.643 1.121 2.524
```

Summary:
The density of states at the Fermi level is 25.224 states/eV/cell.

---

Energy ordering: #Q at the bottom, the next structure 11 meV per atom above.